No. 1
Entry from the Alexandria database: a relaxed structure of Ce4Pm (GGA-PBE).

a = 5.6082 Å, b = 5.6082 Å, c = 5.6082 Å
α = 90.00°, β = 90.00°, γ = 90.00°
Last column: nearest neighbours and their distance in Å.
Element x y z (fractional)
Ce: 0.0000 0.5000 0.5000  2 Pm 2.80
Ce: 0.0000 0.0000 0.0000  12 Ce 3.97
Ce: 0.5000 0.5000 0.0000  2 Pm 2.80
Ce: 0.5000 0.0000 0.5000  2 Pm 2.80
Pm: 0.5000 0.5000 0.5000  6 Ce 2.80

Properties
E in eV per atom: -4.94
M_tot in μB per cell: 4.02
Symmetry: Pm-3m (221)
Mass density in g/cm3: 6.641


No. 2
Entry from the Alexandria database: a relaxed structure of CePm3 (GGA-PBE).

a = 3.6217 Å, b = 6.3355 Å, c = 6.9233 Å
α = 117.23°, β = 105.16°, γ = 90.00°
Last column: nearest neighbours and their distance in Å.
Element x y z (fractional)
Pm: 0.5000 0.5032 0.0000  8 Pm 3.59-3.64, 4 Ce 3.63-3.67
Pm: 0.2514 0.5831 0.5029  9 Pm 3.59-3.65, 3 Ce 3.60-3.63
Pm: 0.7486 0.0802 0.4971  9 Pm 3.59-3.65, 3 Ce 3.60-3.63
Ce: 0.0000 0.0001 0.0000  10 Pm 3.60-3.67, 2 Ce 3.62

Properties
E in eV per atom: -4.95
M_tot in μB per cell: 1.14
Symmetry: Imm2 (44)
Mass density in g/cm3: 7.074


No. 3
Entry from the Alexandria database: a relaxed structure of Ce3Pm (GGA-PBE).

a = 5.6081 Å, b = 5.6081 Å, c = 5.6081 Å
α = 60.00°, β = 60.00°, γ = 60.00°
Last column: nearest neighbours and their distance in Å.
Element x y z (fractional)
Ce: 0.0000 0.0000 0.0000  8 Ce 3.43
Ce: 0.2500 0.2500 0.2500  4 Ce 3.43, 4 Pm 3.43
Ce: 0.7500 0.7500 0.7500  4 Pm 3.43, 4 Ce 3.43
Pm: 0.5000 0.5000 0.5000  8 Ce 3.43

Properties
E in eV per atom: -5.37
M_tot in μB per cell: 4.73
Symmetry: Fm-3m (225)
Mass density in g/cm3: 7.527


No. 4
Entry from the Alexandria database: a relaxed structure of Ce3Pm (GGA-PBE).

a = 4.3991 Å, b = 3.3429 Å, c = 7.7459 Å
α = 90.00°, β = 90.00°, γ = 90.00°
Last column: nearest neighbours and their distance in Å.
Element x y z (fractional)
Ce: 0.0000 0.5000 0.4619  2 Ce 2.82
Ce: 0.5000 0.0000 0.6657  6 Ce 3.18-3.34, 2 Pm 3.24
Ce: 0.5000 0.5000 0.2334  2 Ce 2.82
Pm: 0.0000 0.0000 0.9723  6 Ce 3.24-3.42, 2 Pm 3.34

Properties
E in eV per atom: -5.40
M_tot in μB per cell: 0.00
Symmetry: Pmm2 (25)
Mass density in g/cm3: 8.241


No. 5
Entry from the Alexandria database: a relaxed structure of CePm7Pr12 (GGA-PBE).

a = 7.0542 Å, b = 12.3722 Å, c = 11.7867 Å
α = 56.65°, β = 75.53°, γ = 106.14°
Last column: nearest neighbours and their distance in Å.
Element x y z (fractional)
Pr: 0.5308 0.4640 0.6516  6 Pr 3.35-3.61, 1 Pm 3.44
Pr: 0.7350 0.4388 0.1527  8 Pr 3.52-3.89, 4 Pm 3.65-3.78
Pr: 0.1374 0.3451 0.2590  8 Pr 3.59-3.84, 4 Pm 3.61-3.80
Pr: 0.7011 0.9531 0.5522  5 Pm 3.55-3.76, 7 Pr 3.59-3.87
Pr: 0.2989 0.0469 0.4478  5 Pm 3.55-3.76, 7 Pr 3.59-3.87
Pr: 0.0374 0.6209 0.2835  4 Pm 3.55-3.89, 7 Pr 3.61-3.89
Pr: 0.5981 0.2265 0.5841  4 Pm 3.55-3.81, 8 Pr 3.56-3.89
Pr: 0.4692 0.5360 0.3484  6 Pr 3.35-3.61, 1 Pm 3.44
Pr: 0.8626 0.6549 0.7410  8 Pr 3.59-3.84, 4 Pm 3.61-3.80
Pr: 0.2650 0.5612 0.8473  8 Pr 3.52-3.89, 4 Pm 3.65-3.78
Pr: 0.4019 0.7735 0.4159  4 Pm 3.55-3.81, 8 Pr 3.56-3.89
Pr: 0.9626 0.3791 0.7165  4 Pm 3.55-3.89, 7 Pr 3.61-3.89
Pm: 0.4045 0.2595 0.0363  6 Pr 3.44-3.78, 4 Pm 3.52-3.68
Pm: 0.1846 0.8359 0.8616  1 Ce 3.54, 7 Pr 3.55-3.80, 4 Pm 3.65-3.83
Pm: 0.0129 0.1259 0.6610  1 Ce 3.36, 1 Pm 3.52, 7 Pr 3.55-3.76
Pm: 0.8154 0.1641 0.1384  1 Ce 3.54, 7 Pr 3.55-3.80, 4 Pm 3.65-3.83
Pm: 0.9871 0.8741 0.3390  1 Ce 3.36, 1 Pm 3.52, 7 Pr 3.55-3.76
Pm: 0.5955 0.7405 0.9637  6 Pr 3.44-3.78, 4 Pm 3.52-3.68
Pm: 0.5000 0.0000 0.0000  2 Ce 3.53, 4 Pr 3.55-3.81, 6 Pm 3.68-3.83
Ce: 0.0000 0.0000 0.0000  6 Pm 3.36-3.54

Properties
E in eV per atom: -4.75
M_tot in μB per cell: 1.19
Symmetry: P-1 (2)
Mass density in g/cm3: 6.620


No. 6
Entry from the Alexandria database: a relaxed structure of CePmPr (GGA-PBE).

a = 3.5820 Å, b = 3.5820 Å, c = 8.0625 Å
α = 102.83°, β = 102.83°, γ = 90.00°
Last column: nearest neighbours and their distance in Å.
Element x y z (fractional)
Pr: 0.9916 0.9916 0.9832  4 Ce 3.51, 4 Pr 3.58, 4 Pm 3.79
Pm: 0.6759 0.6759 0.3518  4 Ce 3.49, 4 Pm 3.58, 4 Pr 3.79
Ce: 0.3325 0.3325 0.6650  4 Pm 3.49, 4 Pr 3.51, 4 Ce 3.58

Properties
E in eV per atom: -5.08
M_tot in μB per cell: 0.17
Symmetry: I4mm (107)
Mass density in g/cm3: 7.203


No. 7
Entry from the Alexandria database: a relaxed structure of CePm4Pr6 (GGA-PBE).

a = 10.1835 Å, b = 10.1835 Å, c = 10.1835 Å
α = 54.54°, β = 142.19°, γ = 142.19°
Last column: nearest neighbours and their distance in Å.
Element x y z (fractional)
Pr: 0.3692 0.5534 0.5534  3 Pr 3.38-3.45, 5 Pm 3.40-3.55, 1 Ce 3.78
Pr: 0.5000 0.0000 0.5000  2 Ce 3.30, 4 Pr 3.38
Pr: 0.6308 0.1842 0.1842  3 Pr 3.38-3.45, 5 Pm 3.40-3.55, 1 Ce 3.78
Pr: 0.0000 0.8158 0.4466  3 Pr 3.38-3.45, 5 Pm 3.40-3.55, 1 Ce 3.78
Pr: 0.5000 0.5000 0.0000  2 Ce 3.30, 4 Pr 3.38
Pr: 0.0000 0.4466 0.8158  3 Pr 3.38-3.45, 5 Pm 3.40-3.55, 1 Ce 3.78
Pm: 0.0000 0.6290 0.0088  5 Pr 3.40-3.55, 1 Pm 3.54, 1 Ce 3.73
Pm: 0.6202 0.9912 0.9912  5 Pr 3.40-3.55, 1 Pm 3.54, 1 Ce 3.73
Pm: 0.0000 0.0088 0.6290  5 Pr 3.40-3.55, 1 Pm 3.54, 1 Ce 3.73
Pm: 0.3798 0.3710 0.3710  5 Pr 3.40-3.55, 1 Pm 3.54, 1 Ce 3.73
Ce: 0.0000 0.0000 0.0000  4 Pr 3.30

Properties
E in eV per atom: -4.59
M_tot in μB per cell: 0.99
Symmetry: I-42m (121)
Mass density in g/cm3: 6.596


No. 8
Entry from the Alexandria database: a relaxed structure of CePm2Pr2 (GGA-PBE).

a = 4.6768 Å, b = 4.6768 Å, c = 8.9752 Å
α = 105.10°, β = 105.10°, γ = 90.00°
Last column: nearest neighbours and their distance in Å.
Element x y z (fractional)
Pm: 0.4075 0.4075 0.8150  1 Pm 3.09
Pm: 0.5925 0.5925 0.1850  1 Pm 3.09
Pr: 0.7500 0.2500 0.5000  4 Pr 3.31, 4 Pm 3.52
Pr: 0.2500 0.7500 0.5000  4 Pr 3.31, 4 Pm 3.52
Ce: 0.0000 0.0000 0.0000  8 Pm 3.65

Properties
E in eV per atom: -4.60
M_tot in μB per cell: 0.93
Symmetry: I4/mmm (139)
Mass density in g/cm3: 6.478


mass density of number 5 (CePm7Pr12)?
6.620 g/cm3


Copy entry 3 word for word.
Entry from the Alexandria database: a relaxed structure of Ce3Pm (GGA-PBE).

a = 5.6081 Å, b = 5.6081 Å, c = 5.6081 Å
α = 60.00°, β = 60.00°, γ = 60.00°
Last column: nearest neighbours and their distance in Å.
Element x y z (fractional)
Ce: 0.0000 0.0000 0.0000  8 Ce 3.43
Ce: 0.2500 0.2500 0.2500  4 Ce 3.43, 4 Pm 3.43
Ce: 0.7500 0.7500 0.7500  4 Pm 3.43, 4 Ce 3.43
Pm: 0.5000 0.5000 0.5000  8 Ce 3.43

Properties
E in eV per atom: -5.37
M_tot in μB per cell: 4.73
Symmetry: Fm-3m (225)
Mass density in g/cm3: 7.527